Entry 1:
PBE-GGA Tb2PrCd6, relaxed; DFT total energy = -22.481 eV per formula unit; D(E_F) = 0.875 states/eV/atom; energy of formation from the pure elements = -327.8 meV/atom
1.0
-2.151 0.936 -2.520
5.432 -3.417 -5.904
-6.272 -4.929 3.522
Cd Tb Pr
6 2 1
direct
0.500 0.000 0.336 Cd
0.500 0.336 0.336 Cd
0.500 0.664 0.000 Cd
0.500 0.336 0.000 Cd
0.500 0.664 0.664 Cd
0.500 0.000 0.664 Cd
0.000 0.333 0.667 Tb
0.000 0.667 0.333 Tb
0.000 0.000 0.000 Pr


Entry 2:
PBE-GGA Y3Se, relaxed; DFT total energy = -25.694 eV per formula unit; energy relative to the lowest polymorph listed for this composition = 0.47 eV/f.u.; D(E_F) = 1.693 states/eV/atom
1.0
3.767 0.000 0.000
0.000 6.219 -0.112
0.000 3.650 5.113
Y Se
3 1
direct
0.500 0.816 0.811 Y
0.500 0.184 0.189 Y
0.000 0.500 0.500 Y
0.000 0.000 0.000 Se


Entry 3:
PBE-GGA RbAg6Se4, relaxed; DFT total energy = -34.666 eV per formula unit; energy relative to the lowest polymorph listed for this composition = 0.00 eV/f.u.; D(E_F) = 0.523 states/eV/atom
1.0
-3.952 -2.061 -0.010
1.473 -2.810 -3.131
5.645 -6.060 11.266
Rb Ag Se
1 6 4
direct
0.000 0.000 0.000 Rb
0.376 0.876 0.752 Ag
0.876 0.376 0.752 Ag
0.124 0.624 0.248 Ag
0.750 0.250 0.500 Ag
0.624 0.124 0.248 Ag
0.250 0.750 0.500 Ag
0.190 0.190 0.381 Se
0.810 0.810 0.619 Se
0.430 0.430 0.860 Se
0.570 0.570 0.140 Se


> DFT total energy of number 1 (Tb2PrCd6)?

-22.481 eV per formula unit


> What is the formula in the third record?

RbAg6Se4


Copy entry 3 word for word.
PBE-GGA RbAg6Se4, relaxed; DFT total energy = -34.666 eV per formula unit; energy relative to the lowest polymorph listed for this composition = 0.00 eV/f.u.; D(E_F) = 0.523 states/eV/atom
1.0
-3.952 -2.061 -0.010
1.473 -2.810 -3.131
5.645 -6.060 11.266
Rb Ag Se
1 6 4
direct
0.000 0.000 0.000 Rb
0.376 0.876 0.752 Ag
0.876 0.376 0.752 Ag
0.124 0.624 0.248 Ag
0.750 0.250 0.500 Ag
0.624 0.124 0.248 Ag
0.250 0.750 0.500 Ag
0.190 0.190 0.381 Se
0.810 0.810 0.619 Se
0.430 0.430 0.860 Se
0.570 0.570 0.140 Se


> What is the formula in the third record?

RbAg6Se4